VASP calculation (PBE-GGA) on a relaxed Ag2SnI6 crystal.

Cell: 7.820 7.303 13.967 Å, 90.00 118.34 90.00°
Fractional coordinates of all 18 atoms:
Ag (0.184, 0.032, 0.229)
Ag (0.184, 0.468, 0.729)
Ag (0.816, 0.532, 0.271)
Ag (0.816, 0.968, 0.771)
Sn (0.500, 0.000, 0.000)
Sn (0.500, 0.500, 0.500)
I (0.176, 0.643, 0.284)
I (0.176, 0.857, 0.784)
I (0.221, 0.188, 0.050)
I (0.221, 0.312, 0.550)
I (0.459, 0.676, 0.102)
I (0.459, 0.824, 0.602)
I (0.541, 0.176, 0.398)
I (0.541, 0.324, 0.898)
I (0.779, 0.688, 0.450)
I (0.779, 0.812, 0.950)
I (0.824, 0.143, 0.216)
I (0.824, 0.357, 0.716)

Output
Energy above the lowest structure with this stoichiometry ... 32 meV/atom
SG ... P2_1/c
Formation energy (no corrections) ... -22.7 kJ per mole of atoms



VASP calculation (PBE-GGA) on a relaxed CsTl2Cd crystal.

Cell: 8.316 8.316 8.316 Å, 90.00 90.00 90.00°
Fractional coordinates of all 16 atoms:
Cs (0.000, 0.000, 0.000)
Cs (0.000, 0.500, 0.500)
Cs (0.500, 0.000, 0.500)
Cs (0.500, 0.500, 0.000)
Tl (0.250, 0.250, 0.250)
Tl (0.250, 0.250, 0.750)
Tl (0.250, 0.750, 0.250)
Tl (0.250, 0.750, 0.750)
Tl (0.750, 0.250, 0.250)
Tl (0.750, 0.250, 0.750)
Tl (0.750, 0.750, 0.250)
Tl (0.750, 0.750, 0.750)
Cd (0.000, 0.000, 0.500)
Cd (0.000, 0.500, 0.000)
Cd (0.500, 0.000, 0.000)
Cd (0.500, 0.500, 0.500)

Output
Energy above the lowest structure with this stoichiometry ... 164 meV/atom
SG ... Fm-3m
ΔE_f ... 0.09 eV per atom



VASP calculation (PBE-GGA) on a relaxed LiVTeN2 crystal.

Cell: 3.791 3.791 4.706 Å, 90.00 90.00 90.00°
Fractional coordinates of all 5 atoms:
Li (0.000, 0.000, 0.000)
V (0.500, 0.500, 0.500)
Te (0.000, 0.000, 0.500)
N (0.000, 0.500, 0.000)
N (0.500, 0.000, 0.000)

Output
Energy above the lowest structure with this stoichiometry ... 1538 meV/atom
SG ... P4/mmm
Formation energy (no corrections) ... 159.4 kJ per mole of atoms